1.
The following is a DFT calculation (PBE-GGA) of a relaxed AlCr2CdIn crystal.

Computed properties:
E_tot: -22.0 eV for the cell shown
N(E_F): 1.00 states/eV/atom
Energy of formation: 0.925 eV/atom
V: 22.80 Å³ per atom
Size of the total moment: 7.172 μB per cell

abc: 4.829 4.829 4.889
angles: 90.00 90.00 90.00
Space group P4/mmm (No. 123)
Asymmetric unit:
Al  0.000  0.000  0.000 x1
Cr  0.000  0.500  0.000 x2
Cd  0.000  0.000  0.500 x1
In  0.500  0.500  0.500 x1

2.
The following is a DFT calculation (PBE-GGA) of a relaxed SbTePt2 crystal.

Computed properties:
E_tot: -41.1 eV for the cell shown
N(E_F): 0.38 states/eV/atom
V: 23.80 Å³ per atom
Size of the total moment: 0.000 μB per cell

abc: 5.002 4.816 7.904
angles: 90.00 90.00 90.00
Space group Amm2 (No. 38)
Asymmetric unit:
Sb  0.000  0.000  0.000 x2
Te  0.500  0.000  0.508 x2
Pt  0.000  0.000  0.657 x2
Pt  0.500  0.000  0.848 x2

3.
The following is a DFT calculation (PBE-GGA) of a relaxed HoNpOs crystal.

Computed properties:
E_tot: -110.3 eV for the cell shown
N(E_F): 2.41 states/eV/atom
Energy of formation: 0.391 eV/atom
V: 27.24 Å³ per atom
Size of the total moment: 10.889 μB per cell

abc: 3.745 3.745 23.307
angles: 90.00 90.00 90.00
Space group I4/mmm (No. 139)
Asymmetric unit:
Ho  0.000  0.000  0.077 x4
Np  0.000  0.000  0.322 x4
Os  0.000  0.000  0.197 x4